# Zr2CoHPb

A relaxed structure of Zr2CoHPb (PBE, the Alexandria database).

a b c (Å): 4.4328 4.4328 4.1050
angles (deg): 90.00 90.00 90.00
With the nearest neighbours (Å) after each atom.
Space group P4/mmm (No. 123)
One atom of each set of equivalent atoms:
Zr 0.0000 0.5000 0.0000  2 H 2.22
Co 0.0000 0.0000 0.5000  2 H 2.05
H 0.0000 0.0000 0.0000  2 Co 2.05, 4 Zr 2.22
Pb 0.5000 0.5000 0.5000  8 Zr 3.02, 4 Co 3.13

Results
As for the electronic total energy: -6.4105 eV per atom.

***

# Te3C

A relaxed structure of Te3C (PBE, the Alexandria database).

a b c (Å): 5.9061 5.9061 5.9061
angles (deg): 90.00 90.00 90.00
With the nearest neighbours (Å) after each atom.
Space group Im-3m (No. 229)
One atom of each set of equivalent atoms:
Te 0.0000 0.0000 0.5000  4 Te 2.95, 2 C 2.95
C 0.0000 0.0000 0.0000  6 Te 2.95

Results
As for the electronic total energy: -3.2801 eV per atom. The energy relative to the lowest polymorph listed for this composition comes out at 577 meV per atom. The uncorrected formation energy comes out at 1.382 eV per atom.

***

# MgZnCd11

A relaxed structure of MgZnCd11 (PBE, the Alexandria database).

a b c (Å): 5.9749 13.9496 7.6302
angles (deg): 90.00 111.49 90.00
With the nearest neighbours (Å) after each atom.
Space group C2/m (No. 12)
One atom of each set of equivalent atoms:
Mg 0.0000 0.0000 0.0000  18 Cd 3.45-3.82
Zn 0.0000 0.5000 0.5000  10 Cd 2.83-3.01
Cd 0.0000 0.0000 0.5000  8 Cd 2.97-3.01, 2 Zn 2.99
Cd 0.0958 0.3949 0.2176  1 Zn 2.83, 6 Cd 2.93-3.15
Cd 0.1789 0.1712 0.3500  7 Cd 3.01-3.26, 1 Zn 3.01
Cd 0.2500 0.2500 0.0000  10 Cd 2.93-3.15

Results
As for the electronic total energy: -0.9337 eV per atom. Its calculated formation energy is 0.797 eV/f.u.

***

# Re2TeRh

A relaxed structure of Re2TeRh (PBE, the Alexandria database).

a b c (Å): 3.1158 4.5942 9.0534
angles (deg): 90.00 90.00 90.00
With the nearest neighbours (Å) after each atom.
Space group Imm2 (No. 44)
One atom of each set of equivalent atoms:
Re 0.0000 0.0000 0.0000  2 Te 2.68, 2 Re 2.78, 4 Rh 2.79
Re 0.0000 0.5000 0.2454  4 Te 2.78, 2 Re 2.78, 4 Rh 2.93-3.08
Te 0.0000 0.5000 0.7409  2 Rh 2.60, 6 Re 2.68-2.78
Rh 0.0000 0.0000 0.4712  2 Te 2.60, 4 Re 2.79

Results
As for the electronic total energy: -8.2787 eV per atom. The uncorrected formation energy comes out at 0.569 eV per atom.

***

# AlOsW2

A relaxed structure of AlOsW2 (PBE, the Alexandria database).

a b c (Å): 5.3479 8.2165 2.7912
angles (deg): 90.00 90.00 90.00
With the nearest neighbours (Å) after each atom.
Space group Cmmm (No. 65)
One atom of each set of equivalent atoms:
Al 0.0000 0.0000 0.0000  2 Os 2.67, 2 Al 2.79, 8 W 2.82
Os 0.0000 0.5000 0.0000  2 Al 2.67, 2 Os 2.79, 8 W 2.82
W 0.2500 0.2500 0.5000  4 W 2.67-2.79, 4 Os 2.82, 4 Al 2.82

Results
As for the electronic total energy: -10.1377 eV per atom. Its calculated formation energy is 0.328 eV/f.u.

***

# La2Tb3HoTm6

A relaxed structure of La2Tb3HoTm6 (PBE, the Alexandria database).

a b c (Å): 6.1641 10.6710 11.7080
angles (deg): 90.00 100.07 90.00
With the nearest neighbours (Å) after each atom.
Space group C2/m (No. 12)
One atom of each set of equivalent atoms:
La 0.0000 0.1663 0.0000  3 La 3.55-3.56, 3 Ho 3.56, 6 Tm 3.57-3.58
Tb 0.0000 0.0000 0.5000  6 Tm 3.50-3.51, 6 Tb 3.56
Tb 0.0000 0.3333 0.5000  6 Tm 3.50-3.51, 6 Tb 3.56
Ho 0.0000 0.5000 0.0000  6 La 3.56, 6 Tm 3.57
Tm 0.2470 0.5000 0.7462  3 Tb 3.50-3.51, 6 Tm 3.55-3.56, 1 Ho 3.57, 2 La 3.58
Tm 0.2489 0.1661 0.7464  3 Tb 3.50-3.51, 6 Tm 3.55-3.56, 1 Ho 3.57, 2 La 3.57-3.58

Results
As for the electronic total energy: -4.5725 eV per atom. Its calculated formation energy is 0.283 eV/f.u.

***

# PaVSi2Tc

A relaxed structure of PaVSi2Tc (PBE, the Alexandria database).

a b c (Å): 3.9580 3.9580 10.7166
angles (deg): 90.00 90.00 90.00
With the nearest neighbours (Å) after each atom.
Space group I-4m2 (No. 119)
One atom of each set of equivalent atoms:
Pa 0.0000 0.0000 0.0000  8 Si 3.04, 4 Tc 3.33, 4 V 3.33
V 0.0000 0.5000 0.2500  4 Si 2.47
Si 0.0000 0.0000 0.3886  1 Si 2.39, 2 Tc 2.47, 2 V 2.47
Tc 0.0000 0.5000 0.7500  4 Si 2.47

Results
As for the electronic total energy: -8.5147 eV per atom. The uncorrected formation energy comes out at -0.549 eV per atom.

***

# KLiW

A relaxed structure of KLiW (PBE, the Alexandria database).

a b c (Å): 7.8168 7.8168 7.8168
angles (deg): 90.00 90.00 90.00
With the nearest neighbours (Å) after each atom.
Space group F-43m (No. 216)
One atom of each set of equivalent atoms:
K 0.0000 0.0000 0.0000  4 W 3.38, 4 Li 3.38
Li 0.2500 0.2500 0.2500  4 K 3.38
W 0.2500 0.2500 0.7500  4 K 3.38

Results
As for the electronic total energy: -2.9579 eV per atom. The energy relative to the lowest polymorph listed for this composition comes out at 1352 meV per atom. Its calculated formation energy is 7.091 eV/f.u.

***

> electronic total energy of number 6 (La2Tb3HoTm6)?

-4.5725 eV per atom

***

> Which of these has the lowest electronic total energy?

AlOsW2